# Ce3Dy2PuS6

A geometry-optimized Ce3Dy2PuS6 structure (PBE, Alexandria via LeMat-Bulk).

a b c (Å): 6.860 6.860 6.909
angles (deg): 99.53 99.53 120.03
Positions (direct):
Ce 0.000 0.000 0.000
Ce 0.334 0.666 0.000
Ce 0.666 0.334 0.000
Dy 0.167 0.833 0.500
Dy 0.833 0.167 0.500
Pu 0.500 0.500 0.500
S 0.085 0.420 0.260
S 0.245 0.245 0.740
S 0.420 0.085 0.260
S 0.580 0.915 0.740
S 0.755 0.755 0.260
S 0.915 0.580 0.740

Uncorrected formation energy ... -1.997 eV/atom
N(E_F) ... 1.6651 states/eV per atom
SG ... No. 12

---

# Ce3Dy4PuS8

A geometry-optimized Ce3Dy4PuS8 structure (PBE, Alexandria via LeMat-Bulk).

a b c (Å): 7.941 7.941 7.941
angles (deg): 59.53 59.53 59.53
Positions (direct):
Ce 0.000 0.500 0.500
Ce 0.500 0.000 0.500
Ce 0.500 0.500 0.000
Dy 0.000 0.000 0.500
Dy 0.000 0.500 0.000
Dy 0.500 0.000 0.000
Dy 0.500 0.500 0.500
Pu 0.000 0.000 0.000
S 0.245 0.748 0.748
S 0.246 0.246 0.246
S 0.252 0.252 0.755
S 0.252 0.755 0.252
S 0.748 0.245 0.748
S 0.748 0.748 0.245
S 0.754 0.754 0.754
S 0.755 0.252 0.252

Uncorrected formation energy ... -2.001 eV/atom
N(E_F) ... 1.3275 states/eV per atom
SG ... No. 166

---

# Ce2DyPuSb4

A geometry-optimized Ce2DyPuSb4 structure (PBE, Alexandria via LeMat-Bulk).

a b c (Å): 7.685 4.458 7.728
angles (deg): 90.00 109.55 90.00
Positions (direct):
Ce 0.000 0.000 0.000
Ce 0.000 0.500 0.500
Dy 0.500 0.000 0.500
Pu 0.500 0.500 0.000
Sb 0.254 0.000 0.750
Sb 0.254 0.500 0.253
Sb 0.746 0.000 0.250
Sb 0.746 0.500 0.747

Uncorrected formation energy ... -0.958 eV/atom
N(E_F) ... 3.0916 states/eV per atom
SG ... No. 10

---

# CeDy2PuSb4

A geometry-optimized CeDy2PuSb4 structure (PBE, Alexandria via LeMat-Bulk).

a b c (Å): 7.659 4.430 7.661
angles (deg): 90.00 109.54 90.00
Positions (direct):
Ce 0.000 0.000 0.000
Dy 0.500 0.000 0.500
Dy 0.500 0.500 0.000
Pu 0.000 0.500 0.500
Sb 0.253 0.000 0.750
Sb 0.254 0.500 0.252
Sb 0.746 0.500 0.748
Sb 0.747 0.000 0.250

Uncorrected formation energy ... -0.980 eV/atom
N(E_F) ... 2.4592 states/eV per atom
SG ... No. 10

---

# CeDyPu2Sb4

A geometry-optimized CeDyPu2Sb4 structure (PBE, Alexandria via LeMat-Bulk).

a b c (Å): 7.673 4.443 7.680
angles (deg): 90.00 109.55 90.00
Positions (direct):
Ce 0.000 0.000 0.000
Dy 0.000 0.500 0.500
Pu 0.500 0.000 0.500
Pu 0.500 0.500 0.000
Sb 0.249 0.000 0.748
Sb 0.250 0.500 0.253
Sb 0.750 0.500 0.747
Sb 0.751 0.000 0.252

Uncorrected formation energy ... -0.827 eV/atom
N(E_F) ... 4.5763 states/eV per atom
SG ... No. 10

---

# Ce2Dy3PuSe6

A geometry-optimized Ce2Dy3PuSe6 structure (PBE, Alexandria via LeMat-Bulk).

a b c (Å): 9.268 9.268 8.321
angles (deg): 103.81 103.81 25.57
Positions (direct):
Ce 0.167 0.167 0.334
Ce 0.833 0.833 0.666
Dy 0.167 0.167 0.834
Dy 0.500 0.500 0.500
Dy 0.833 0.833 0.166
Pu 0.500 0.500 0.000
Se 0.002 0.002 0.747
Se 0.332 0.332 0.923
Se 0.336 0.336 0.409
Se 0.664 0.664 0.591
Se 0.668 0.668 0.077
Se 0.998 0.998 0.253

Uncorrected formation energy ... -1.758 eV/atom
N(E_F) ... 1.5875 states/eV per atom
SG ... No. 12

---

# Ce3Dy2PuSe6

A geometry-optimized Ce3Dy2PuSe6 structure (PBE, Alexandria via LeMat-Bulk).

a b c (Å): 7.152 7.152 7.245
angles (deg): 99.48 99.48 120.06
Positions (direct):
Ce 0.000 0.000 0.000
Ce 0.334 0.666 0.000
Ce 0.666 0.334 0.000
Dy 0.167 0.833 0.500
Dy 0.833 0.167 0.500
Pu 0.500 0.500 0.500
Se 0.083 0.420 0.259
Se 0.243 0.243 0.740
Se 0.420 0.083 0.259
Se 0.580 0.917 0.741
Se 0.757 0.757 0.260
Se 0.917 0.580 0.741

Uncorrected formation energy ... -1.762 eV/atom
N(E_F) ... 2.2636 states/eV per atom
SG ... No. 12

---

# Ce2DyPuSe4

A geometry-optimized Ce2DyPuSe4 structure (PBE, Alexandria via LeMat-Bulk).

a b c (Å): 7.198 4.136 7.230
angles (deg): 90.00 109.18 90.00
Positions (direct):
Ce 0.000 0.000 0.000
Ce 0.500 0.500 0.000
Dy 0.000 0.500 0.500
Pu 0.500 0.000 0.500
Se 0.244 0.000 0.740
Se 0.250 0.500 0.258
Se 0.750 0.500 0.742
Se 0.756 0.000 0.260

Uncorrected formation energy ... -1.740 eV/atom
N(E_F) ... 2.4476 states/eV per atom
SG ... No. 10

---

# CeDyPu2Se4

A geometry-optimized CeDyPu2Se4 structure (PBE, Alexandria via LeMat-Bulk).

a b c (Å): 7.168 4.134 7.193
angles (deg): 90.00 109.29 90.00
Positions (direct):
Ce 0.000 0.000 0.000
Dy 0.000 0.500 0.500
Pu 0.500 0.000 0.500
Pu 0.500 0.500 0.000
Se 0.248 0.000 0.744
Se 0.253 0.500 0.256
Se 0.747 0.500 0.744
Se 0.752 0.000 0.256

Uncorrected formation energy ... -1.672 eV/atom
N(E_F) ... 2.5126 states/eV per atom
SG ... No. 10

---

# CeDyPuSn

A geometry-optimized CeDyPuSn structure (PBE, Alexandria via LeMat-Bulk).

a b c (Å): 5.314 5.314 5.314
angles (deg): 60.00 60.00 60.00
Positions (direct):
Ce 0.000 0.000 0.000
Dy 0.250 0.250 0.250
Pu 0.750 0.750 0.750
Sn 0.500 0.500 0.500

ΔH_f (0 K) ... -0.183 eV/atom
N(E_F) ... 2.1400 states/eV per atom
SG ... No. 216

---

# TbCeDyPu

A geometry-optimized TbCeDyPu structure (PBE, Alexandria via LeMat-Bulk).

a b c (Å): 5.574 5.574 5.574
angles (deg): 60.00 60.00 60.00
Positions (direct):
Tb 0.000 0.000 0.000
Ce 0.250 0.250 0.250
Dy 0.500 0.500 0.500
Pu 0.750 0.750 0.750

ΔH_f (0 K) ... 0.270 eV/atom
N(E_F) ... 4.0749 states/eV per atom
SG ... No. 216

---

# CeDyPuTc

A geometry-optimized CeDyPuTc structure (PBE, Alexandria via LeMat-Bulk).

a b c (Å): 5.021 5.021 5.021
angles (deg): 60.00 60.00 60.00
Positions (direct):
Ce 0.000 0.000 0.000
Dy 0.750 0.750 0.750
Pu 0.250 0.250 0.250
Tc 0.500 0.500 0.500

ΔH_f (0 K) ... 0.086 eV/atom
N(E_F) ... 1.0443 states/eV per atom
SG ... No. 216

---

# CeDyPuZn

A geometry-optimized CeDyPuZn structure (PBE, Alexandria via LeMat-Bulk).

a b c (Å): 5.198 5.198 5.198
angles (deg): 60.00 60.00 60.00
Positions (direct):
Ce 0.000 0.000 0.000
Dy 0.500 0.500 0.500
Pu 0.250 0.250 0.250
Zn 0.750 0.750 0.750

ΔH_f (0 K) ... 0.047 eV/atom
N(E_F) ... 3.0492 states/eV per atom
SG ... No. 216

---

# RbCeDy2

A geometry-optimized RbCeDy2 structure (PBE, Alexandria via LeMat-Bulk).

a b c (Å): 11.153 11.153 11.153
angles (deg): 22.24 22.24 22.24
Positions (direct):
Rb 0.000 0.000 0.000
Ce 0.500 0.500 0.500
Dy 0.119 0.119 0.119
Dy 0.881 0.881 0.881

ΔH_f (0 K) ... 0.876 eV/atom
N(E_F) ... 1.9066 states/eV per atom
SG ... No. 166

---

# Rb3CeDy2S6

A geometry-optimized Rb3CeDy2S6 structure (PBE, Alexandria via LeMat-Bulk).

a b c (Å): 7.171 7.171 8.046
angles (deg): 98.55 98.55 119.99
Positions (direct):
Rb 0.000 0.000 0.000
Rb 0.334 0.666 0.000
Rb 0.666 0.334 0.000
Ce 0.500 0.500 0.500
Dy 0.167 0.833 0.500
Dy 0.833 0.167 0.500
S 0.094 0.436 0.307
S 0.223 0.223 0.693
S 0.436 0.094 0.307
S 0.564 0.906 0.693
S 0.777 0.777 0.307
S 0.906 0.564 0.693

Uncorrected formation energy ... -1.820 eV/atom
N(E_F) ... 0.3763 states/eV per atom
SG ... No. 12

---

# Rb2CeDy2S6

A geometry-optimized Rb2CeDy2S6 structure (PBE, Alexandria via LeMat-Bulk).

a b c (Å): 7.017 7.017 8.193
angles (deg): 98.28 98.28 119.99
Positions (direct):
Rb 0.168 0.832 0.000
Rb 0.832 0.168 0.000
Ce 0.000 0.000 0.500
Dy 0.334 0.666 0.500
Dy 0.666 0.334 0.500
S 0.061 0.394 0.686
S 0.267 0.267 0.314
S 0.394 0.061 0.686
S 0.606 0.939 0.314
S 0.733 0.733 0.686
S 0.939 0.606 0.314

Uncorrected formation energy ... -1.851 eV/atom
SG ... No. 12

---

# Rb3Ce3DySe8

A geometry-optimized Rb3Ce3DySe8 structure (PBE, Alexandria via LeMat-Bulk).

a b c (Å): 9.499 9.499 9.499
angles (deg): 53.94 53.94 53.94
Positions (direct):
Rb 0.000 0.500 0.500
Rb 0.500 0.000 0.500
Rb 0.500 0.500 0.000
Ce 0.000 0.000 0.500
Ce 0.000 0.500 0.000
Ce 0.500 0.000 0.000
Dy 0.500 0.500 0.500
Se 0.233 0.233 0.233
Se 0.235 0.728 0.728
Se 0.272 0.272 0.765
Se 0.272 0.765 0.272
Se 0.728 0.235 0.728
Se 0.728 0.728 0.235
Se 0.765 0.272 0.272
Se 0.767 0.767 0.767

Uncorrected formation energy ... -1.709 eV/atom
N(E_F) ... 0.8629 states/eV per atom
SG ... No. 166

---

# Rb4Ce3DySe8

A geometry-optimized Rb4Ce3DySe8 structure (PBE, Alexandria via LeMat-Bulk).

a b c (Å): 9.450 9.450 9.450
angles (deg): 55.11 55.11 55.11
Positions (direct):
Rb 0.000 0.000 0.000
Rb 0.000 0.500 0.500
Rb 0.500 0.000 0.500
Rb 0.500 0.500 0.000
Ce 0.000 0.000 0.500
Ce 0.000 0.500 0.000
Ce 0.500 0.000 0.000
Dy 0.500 0.500 0.500
Se 0.234 0.234 0.234
Se 0.240 0.729 0.729
Se 0.271 0.271 0.760
Se 0.271 0.760 0.271
Se 0.729 0.240 0.729
Se 0.729 0.729 0.240
Se 0.760 0.271 0.271
Se 0.766 0.766 0.766

Uncorrected formation energy ... -1.684 eV/atom
N(E_F) ... 1.1388 states/eV per atom
SG ... No. 166

---

# Rb4CeDy3Se8

A geometry-optimized Rb4CeDy3Se8 structure (PBE, Alexandria via LeMat-Bulk).

a b c (Å): 9.404 9.404 9.404
angles (deg): 54.25 54.25 54.25
Positions (direct):
Rb 0.000 0.000 0.000
Rb 0.000 0.500 0.500
Rb 0.500 0.000 0.500
Rb 0.500 0.500 0.000
Ce 0.500 0.500 0.500
Dy 0.000 0.000 0.500
Dy 0.000 0.500 0.000
Dy 0.500 0.000 0.000
Se 0.225 0.736 0.736
Se 0.232 0.232 0.232
Se 0.264 0.264 0.775
Se 0.264 0.775 0.264
Se 0.736 0.225 0.736
Se 0.736 0.736 0.225
Se 0.768 0.768 0.768
Se 0.775 0.264 0.264

Uncorrected formation energy ... -1.718 eV/atom
N(E_F) ... 0.3155 states/eV per atom
SG ... No. 166

---

# Rb4CeDy3Te8

A geometry-optimized Rb4CeDy3Te8 structure (PBE, Alexandria via LeMat-Bulk).

a b c (Å): 10.050 10.050 10.050
angles (deg): 54.11 54.11 54.11
Positions (direct):
Rb 0.000 0.000 0.000
Rb 0.000 0.500 0.500
Rb 0.500 0.000 0.500
Rb 0.500 0.500 0.000
Ce 0.500 0.500 0.500
Dy 0.000 0.000 0.500
Dy 0.000 0.500 0.000
Dy 0.500 0.000 0.000
Te 0.226 0.738 0.738
Te 0.233 0.233 0.233
Te 0.262 0.262 0.774
Te 0.262 0.774 0.262
Te 0.738 0.226 0.738
Te 0.738 0.738 0.226
Te 0.767 0.767 0.767
Te 0.774 0.262 0.262

Uncorrected formation energy ... -1.368 eV/atom
N(E_F) ... 0.5428 states/eV per atom
SG ... No. 166

---

# Rb3CeDy3Te8

A geometry-optimized Rb3CeDy3Te8 structure (PBE, Alexandria via LeMat-Bulk).

a b c (Å): 10.126 10.126 10.126
angles (deg): 52.53 52.53 52.53
Positions (direct):
Rb 0.000 0.500 0.500
Rb 0.500 0.000 0.500
Rb 0.500 0.500 0.000
Ce 0.500 0.500 0.500
Dy 0.000 0.000 0.500
Dy 0.000 0.500 0.000
Dy 0.500 0.000 0.000
Te 0.230 0.734 0.734
Te 0.233 0.233 0.233
Te 0.266 0.266 0.770
Te 0.266 0.770 0.266
Te 0.734 0.230 0.734
Te 0.734 0.734 0.230
Te 0.767 0.767 0.767
Te 0.770 0.266 0.266

Uncorrected formation energy ... -1.346 eV/atom
N(E_F) ... 0.0069 states/eV per atom
SG ... No. 166

---

# Rb3Ce2DyTe6

A geometry-optimized Rb3Ce2DyTe6 structure (PBE, Alexandria via LeMat-Bulk).

a b c (Å): 8.038 8.038 8.945
angles (deg): 98.62 98.62 120.00
Positions (direct):
Rb 0.000 0.000 0.000
Rb 0.332 0.668 0.000
Rb 0.668 0.332 0.000
Ce 0.166 0.834 0.500
Ce 0.834 0.166 0.500
Dy 0.500 0.500 0.500
Te 0.107 0.433 0.298
Te 0.243 0.243 0.703
Te 0.433 0.107 0.298
Te 0.567 0.893 0.702
Te 0.757 0.757 0.297
Te 0.893 0.567 0.702

Uncorrected formation energy ... -1.351 eV/atom
N(E_F) ... 1.0337 states/eV per atom
SG ... No. 12